A geometry-optimized Fe4O7F structure. Source: Alexandria via LeMat-Bulk, functional PBE with a Hubbard U.

magnetization	1.25	μB/atom
DOS at the Fermi energy	0.33	states/eV per atom
total energy	-6.0769	eV/atom
ΔE to the lowest computed polymorph	0.0605	eV/atom

Unit cell a=5.9704 b=18.4518 c=5.4759 alpha=90.00 beta=122.62 gamma=90.00
Space group Cc (No. 9)
Unique sites:
1 Fe 0.0000 0.0590 0.0000
2 Fe 0.4666 0.1899 0.4495
3 Fe 0.4853 0.3085 0.9596
4 Fe 0.4892 0.0654 0.9712
5 O 0.1204 0.2372 0.2563
6 O 0.1387 0.2641 0.7726
7 O 0.1489 0.4840 0.2918
8 O 0.1509 0.0164 0.7976
9 O 0.3226 0.1416 0.6474
10 O 0.3345 0.3875 0.6685
11 O 0.3369 0.1120 0.1672
12 F 0.3395 0.3593 0.1669